No. 1
# Sm2HoTl (PBE, relaxed)
# **Formation energy**: -57.8 kJ/mol of formula units
# **Space-group type**: P4/mmm, No. 123
# **DOS(E_F)**: 5.606 states/eV/f.u.
# **M_tot**: 0.000 Bohr magnetons per cell
# **Energy above the lowest structure with this stoichiometry**: 25 meV/atom
data_Sm2HoTl
_cell_length_a 3.641
_cell_length_b 3.641
_cell_length_c 9.370
_cell_angle_alpha 90.00
_cell_angle_beta 90.00
_cell_angle_gamma 90.00
_space_group_name_H-M_alt 'P 1'
_space_group_IT_number 1
_space_group_name_Hall 'P 1'
loop_
_atom_site_label
_atom_site_type_symbol
_atom_site_fract_x
_atom_site_fract_y
_atom_site_fract_z
_atom_site_occupancy
Tl1 Tl 0.500 0.500 0.000 1
Sm1 Sm 0.000 0.000 0.231 1
Sm2 Sm 0.000 0.000 0.769 1
Ho1 Ho 0.500 0.500 0.500 1

***

No. 2
# SmHo7Tl5 (PBE, relaxed)
# **Formation energy**: -179.8 kJ/mol of formula units
# **Space-group type**: Imm2, No. 44
# **DOS(E_F)**: 15.734 states/eV/f.u.
# **M_tot**: 0.630 Bohr magnetons per cell
data_SmHo7Tl5
_cell_length_a 6.494
_cell_length_b 8.317
_cell_length_c 8.317
_cell_angle_alpha 81.29
_cell_angle_beta 67.02
_cell_angle_gamma 67.02
_space_group_name_H-M_alt 'P 1'
_space_group_IT_number 1
_space_group_name_Hall 'P 1'
loop_
_atom_site_label
_atom_site_type_symbol
_atom_site_fract_x
_atom_site_fract_y
_atom_site_fract_z
_atom_site_occupancy
Tl1 Tl 0.007 0.004 0.483 1
Tl2 Tl 0.735 0.765 0.765 1
Tl3 Tl 0.506 0.004 0.483 1
Tl4 Tl 0.007 0.483 0.004 1
Tl5 Tl 0.506 0.483 0.004 1
Ho1 Ho 0.997 0.345 0.661 1
Ho2 Ho 0.639 0.361 0.361 1
Ho3 Ho 0.513 0.183 0.792 1
Ho4 Ho 0.997 0.661 0.345 1
Ho5 Ho 0.272 0.228 0.228 1
Ho6 Ho 0.513 0.792 0.183 1
Ho7 Ho 0.324 0.676 0.676 1
Sm1 Sm 0.984 0.016 0.016 1

***

No. 3
# Sm2Ho4Tl (PBE, relaxed)
# **Formation energy**: -33.6 kJ/mol of formula units
# **Space-group type**: Pnma, No. 62
# **DOS(E_F)**: 8.385 states/eV/f.u.
# **M_tot**: 0.000 Bohr magnetons per cell
# **Energy above the lowest structure with this stoichiometry**: 0 meV/atom
data_Sm2Ho4Tl
_cell_length_a 3.531
_cell_length_b 20.306
_cell_length_c 12.143
_cell_angle_alpha 90.00
_cell_angle_beta 90.00
_cell_angle_gamma 90.00
_space_group_name_H-M_alt 'P 1'
_space_group_IT_number 1
_space_group_name_Hall 'P 1'
loop_
_atom_site_label
_atom_site_type_symbol
_atom_site_fract_x
_atom_site_fract_y
_atom_site_fract_z
_atom_site_occupancy
Ho1 Ho 0.250 0.262 0.770 1
Ho2 Ho 0.750 0.238 0.270 1
Ho3 Ho 0.750 0.905 0.816 1
Ho4 Ho 0.250 0.805 0.004 1
Ho5 Ho 0.750 0.195 0.996 1
Ho6 Ho 0.250 0.595 0.316 1
Ho7 Ho 0.250 0.501 0.877 1
Ho8 Ho 0.250 0.001 0.623 1
Ho9 Ho 0.750 0.695 0.504 1
Ho10 Ho 0.750 0.499 0.123 1
Ho11 Ho 0.250 0.095 0.184 1
Ho12 Ho 0.750 0.405 0.684 1
Ho13 Ho 0.250 0.305 0.496 1
Ho14 Ho 0.750 0.738 0.230 1
Ho15 Ho 0.250 0.762 0.730 1
Ho16 Ho 0.750 0.999 0.377 1
Tl1 Tl 0.250 0.866 0.292 1
Tl2 Tl 0.750 0.134 0.708 1
Tl3 Tl 0.750 0.634 0.792 1
Tl4 Tl 0.250 0.366 0.208 1
Sm1 Sm 0.250 0.641 0.032 1
Sm2 Sm 0.750 0.859 0.532 1
Sm3 Sm 0.750 0.359 0.968 1
Sm4 Sm 0.250 0.552 0.598 1
Sm5 Sm 0.250 0.141 0.468 1
Sm6 Sm 0.250 0.052 0.902 1
Sm7 Sm 0.750 0.948 0.098 1
Sm8 Sm 0.750 0.448 0.402 1

***

No. 4
# Sm3Ho4Tl2 (PBE, relaxed)
# **Formation energy**: -51.5 kJ/mol of formula units
# **Space-group type**: C2/c, No. 15
# **DOS(E_F)**: 9.687 states/eV/f.u.
# **M_tot**: 0.000 Bohr magnetons per cell
data_Sm3Ho4Tl2
_cell_length_a 6.450
_cell_length_b 9.422
_cell_length_c 9.422
_cell_angle_alpha 84.52
_cell_angle_beta 82.69
_cell_angle_gamma 82.69
_space_group_name_H-M_alt 'P 1'
_space_group_IT_number 1
_space_group_name_Hall 'P 1'
loop_
_atom_site_label
_atom_site_type_symbol
_atom_site_fract_x
_atom_site_fract_y
_atom_site_fract_z
_atom_site_occupancy
Ho1 Ho 0.930 0.310 0.864 1
Ho2 Ho 0.915 0.844 0.513 1
Ho3 Ho 0.415 0.513 0.844 1
Ho4 Ho 0.070 0.690 0.136 1
Ho5 Ho 0.430 0.864 0.310 1
Ho6 Ho 0.085 0.156 0.487 1
Ho7 Ho 0.570 0.136 0.690 1
Ho8 Ho 0.585 0.487 0.156 1
Tl1 Tl 0.564 0.202 0.371 1
Tl2 Tl 0.064 0.371 0.202 1
Tl3 Tl 0.436 0.798 0.629 1
Tl4 Tl 0.936 0.629 0.798 1
Sm1 Sm 0.250 0.472 0.528 1
Sm2 Sm 0.584 0.829 0.956 1
Sm3 Sm 0.084 0.956 0.829 1
Sm4 Sm 0.750 0.528 0.472 1
Sm5 Sm 0.416 0.171 0.044 1
Sm6 Sm 0.916 0.044 0.171 1

***

Copy entry 1 word for word.
# Sm2HoTl (PBE, relaxed)
# **Formation energy**: -57.8 kJ/mol of formula units
# **Space-group type**: P4/mmm, No. 123
# **DOS(E_F)**: 5.606 states/eV/f.u.
# **M_tot**: 0.000 Bohr magnetons per cell
# **Energy above the lowest structure with this stoichiometry**: 25 meV/atom
data_Sm2HoTl
_cell_length_a 3.641
_cell_length_b 3.641
_cell_length_c 9.370
_cell_angle_alpha 90.00
_cell_angle_beta 90.00
_cell_angle_gamma 90.00
_space_group_name_H-M_alt 'P 1'
_space_group_IT_number 1
_space_group_name_Hall 'P 1'
loop_
_atom_site_label
_atom_site_type_symbol
_atom_site_fract_x
_atom_site_fract_y
_atom_site_fract_z
_atom_site_occupancy
Tl1 Tl 0.500 0.500 0.000 1
Sm1 Sm 0.000 0.000 0.231 1
Sm2 Sm 0.000 0.000 0.769 1
Ho1 Ho 0.500 0.500 0.500 1

***

Copy entry 3 word for word.
# Sm2Ho4Tl (PBE, relaxed)
# **Formation energy**: -33.6 kJ/mol of formula units
# **Space-group type**: Pnma, No. 62
# **DOS(E_F)**: 8.385 states/eV/f.u.
# **M_tot**: 0.000 Bohr magnetons per cell
# **Energy above the lowest structure with this stoichiometry**: 0 meV/atom
data_Sm2Ho4Tl
_cell_length_a 3.531
_cell_length_b 20.306
_cell_length_c 12.143
_cell_angle_alpha 90.00
_cell_angle_beta 90.00
_cell_angle_gamma 90.00
_space_group_name_H-M_alt 'P 1'
_space_group_IT_number 1
_space_group_name_Hall 'P 1'
loop_
_atom_site_label
_atom_site_type_symbol
_atom_site_fract_x
_atom_site_fract_y
_atom_site_fract_z
_atom_site_occupancy
Ho1 Ho 0.250 0.262 0.770 1
Ho2 Ho 0.750 0.238 0.270 1
Ho3 Ho 0.750 0.905 0.816 1
Ho4 Ho 0.250 0.805 0.004 1
Ho5 Ho 0.750 0.195 0.996 1
Ho6 Ho 0.250 0.595 0.316 1
Ho7 Ho 0.250 0.501 0.877 1
Ho8 Ho 0.250 0.001 0.623 1
Ho9 Ho 0.750 0.695 0.504 1
Ho10 Ho 0.750 0.499 0.123 1
Ho11 Ho 0.250 0.095 0.184 1
Ho12 Ho 0.750 0.405 0.684 1
Ho13 Ho 0.250 0.305 0.496 1
Ho14 Ho 0.750 0.738 0.230 1
Ho15 Ho 0.250 0.762 0.730 1
Ho16 Ho 0.750 0.999 0.377 1
Tl1 Tl 0.250 0.866 0.292 1
Tl2 Tl 0.750 0.134 0.708 1
Tl3 Tl 0.750 0.634 0.792 1
Tl4 Tl 0.250 0.366 0.208 1
Sm1 Sm 0.250 0.641 0.032 1
Sm2 Sm 0.750 0.859 0.532 1
Sm3 Sm 0.750 0.359 0.968 1
Sm4 Sm 0.250 0.552 0.598 1
Sm5 Sm 0.250 0.141 0.468 1
Sm6 Sm 0.250 0.052 0.902 1
Sm7 Sm 0.750 0.948 0.098 1
Sm8 Sm 0.750 0.448 0.402 1